Entry from Alexandria: a relaxed K3AgW2O8 crystal (PBE+U). Values from VASP.

Computed properties:
Its spin magnetization is 0.00 μB/f.u. The value obtained for the total energy is -6.097 eV per atom. The value obtained for the density is 4.6 g cm⁻³. The space group is P-3m1.

Cell and atoms, written as Quantum ESPRESSO input:
```
&SYSTEM
  ibrav = 0, nat = 14, ntyp = 4
/
ATOMIC_SPECIES
K 39.10 K.upf
Ag 107.87 Ag.upf
W 183.84 W.upf
O 16.00 O.upf
CELL_PARAMETERS angstrom
-2.188 1.365 5.638
-3.909 -1.609 -4.536
0.681 -7.562 2.095
ATOMIC_POSITIONS crystal
K 0.333 0.667 0.655
K 0.667 0.333 0.345
K 0.000 0.000 0.000
Ag 0.000 0.000 0.500
W 0.333 0.667 0.208
W 0.667 0.333 0.792
O 0.333 0.667 0.978
O 0.667 0.333 0.022
O 0.175 0.825 0.292
O 0.825 0.175 0.708
O 0.175 0.350 0.292
O 0.825 0.650 0.708
O 0.650 0.825 0.292
O 0.350 0.175 0.708
```